Entry 1:
VASP calculation (GGA-PBE) on Er2AsH after structural relaxation.

abc: 4.0431 4.0431 21.3612
angles: 90.00 90.00 120.00
Space group R-3m (No. 166, hexagonal axes)
Inequivalent atoms, fractional coordinates:
Er: 0.0000 0.0000 0.0933 [6 per cell]
As: 0.0000 0.0000 0.5000 [3 per cell]
H: 0.0000 0.0000 0.0000 [3 per cell]

Properties
Relative energy among the computed polymorphs, eV per formula unit: 1.15
VASP energy, eV/atom: -4.9078


Entry 2:
VASP calculation (GGA-PBE) on Er2AsH after structural relaxation.

abc: 3.9007 3.9007 6.2880
angles: 90.00 90.00 120.00
Space group P3m1 (No. 156)
Inequivalent atoms, fractional coordinates:
Er: 0.0000 0.0000 0.0000 [1 per cell]
Er: 0.3333 0.6667 0.5392 [1 per cell]
As: 0.6667 0.3333 0.2732 [1 per cell]
H: 0.3333 0.6667 0.8926 [1 per cell]

Properties
Relative energy among the computed polymorphs, eV per formula unit: 0.00
VASP energy, eV/atom: -5.1950


Entry 3:
VASP calculation (GGA-PBE) on Er2AsH after structural relaxation.

abc: 3.8438 3.8438 20.8839
angles: 90.00 90.00 120.00
Space group R3m (No. 160, hexagonal axes)
Inequivalent atoms, fractional coordinates:
Er: 0.0000 0.0000 0.0000 [3 per cell]
Er: 0.0000 0.0000 0.1707 [3 per cell]
As: 0.0000 0.0000 0.5813 [3 per cell]
H: 0.0000 0.0000 0.3530 [3 per cell]

Properties
Relative energy among the computed polymorphs, eV per formula unit: 0.81
VASP energy, eV/atom: -4.9925


Entry 4:
VASP calculation (GGA-PBE) on ErNi2AsH after structural relaxation.

abc: 3.824 10.133 6.734
angles: 90.00 90.00 90.00
Space group Cmcm (No. 63)
Inequivalent atoms, fractional coordinates:
Er: 0.000 0.062 0.250 [4 per cell]
Ni: 0.000 0.343 0.057 [8 per cell]
As: 0.000 0.222 0.750 [4 per cell]
H: 0.000 0.500 0.000 [4 per cell]

Properties
VASP energy, eV/atom: -5.5108


Entry 5:
VASP calculation (GGA-PBE) on ErNiAsH after structural relaxation.

abc: 3.936 3.936 7.056
angles: 90.00 90.00 90.00
Space group P4/nmm (No. 129, origin choice 2)
Inequivalent atoms, fractional coordinates:
Er: 0.250 0.250 0.162 [2 per cell]
Ni: 0.250 0.750 0.500 [2 per cell]
As: 0.250 0.250 0.690 [2 per cell]
H: 0.250 0.750 0.000 [2 per cell]

Properties
VASP energy, eV/atom: -5.4120


Entry 6:
VASP calculation (GGA-PBE) on ErAs2HO6 after structural relaxation.

abc: 9.890 10.515 6.755
angles: 90.00 103.77 90.00
Space group C2/c (No. 15)
Inequivalent atoms, fractional coordinates:
Er: 0.000 0.222 0.250 [4 per cell]
As: 0.194 0.058 0.634 [8 per cell]
H: 0.000 0.173 0.750 [4 per cell]
O: 0.048 0.167 0.597 [8 per cell]
O: 0.163 0.354 0.245 [8 per cell]
O: 0.168 0.056 0.319 [8 per cell]

Properties
VASP energy, eV/atom: -6.3504


Question: Look up the VASP energy of the sixth one.
Answer: -6.3504 eV/atom


Question: Which value of VASP energy does entry 2 give?
Answer: -5.1950 eV/atom


Question: The highest VASP energy belongs to which entry?
Answer: number 1


Question: Which of these has the lowest VASP energy?
Answer: ErAs2HO6